A relaxed structure of ErTm2Zr, computed with PBE-GGA.

DFT formation energy = 5.7 kJ/mol of atoms
crystal system = tetragonal
energy above the lowest structure with this stoichiometry = 0.012 eV per atom
space-group type = P4/mmm, No. 123
raw total energy = -5.4543 eV/atom

Cell and atoms, written as POSCAR:
```
ErTm2Zr
1.0
3.399 0.000 0.000
0.000 3.399 0.000
0.000 0.000 9.698
Er Tm Zr
1 2 1
Direct
0.000 0.000 0.000
0.500 0.500 0.267
0.500 0.500 0.733
0.000 0.000 0.500
```